# AlCuRu2 | the Alexandria database | SCAN | single point on PBEsol structure
data_AlCuRu2
_chemical_formula_sum 'Al2 Cu2 Ru4'
_space_group_name_H-M_alt 'C m m 2'
_space_group_IT_number 35
_space_group_name_Hall 'C 2 -2'
_cell_length_a 2.7894
_cell_length_b 4.5135
_cell_length_c 8.4971
_cell_angle_alpha 90.00
_cell_angle_beta 90.00
_cell_angle_gamma 90.00
loop_
_atom_site_label
_atom_site_type_symbol
_atom_site_fract_x
_atom_site_fract_y
_atom_site_fract_z
Al1 Al 0.0000 0.0000 0.0000
Cu1 Cu 0.0000 0.5000 0.2404
Ru1 Ru 0.0000 0.0000 0.4980
Ru2 Ru 0.0000 0.5000 0.7551
# - density (g cm⁻³) = 9.09
# - E (eV per atom) = -23.03

---

# TiZnOs3 | the Alexandria database | SCAN | single point on PBEsol structure
data_TiZnOs3
_chemical_formula_sum 'Ti1 Zn1 Os3'
_space_group_name_H-M_alt 'P m -3 m'
_space_group_IT_number 221
_space_group_name_Hall '-P 4 2 3'
_cell_length_a 4.4890
_cell_length_b 4.4890
_cell_length_c 4.4890
_cell_angle_alpha 90.00
_cell_angle_beta 90.00
_cell_angle_gamma 90.00
loop_
_atom_site_label
_atom_site_type_symbol
_atom_site_fract_x
_atom_site_fract_y
_atom_site_fract_z
Ti1 Ti 0.0000 0.0000 0.0000
Zn1 Zn 0.5000 0.5000 0.5000
Os1 Os 0.0000 0.0000 0.5000
# - density (g cm⁻³) = 12.56
# - E (eV per atom) = -47.16

---

# TmAgGe | the Alexandria database | SCAN | single point on PBEsol structure
data_TmAgGe
_chemical_formula_sum 'Tm3 Ag3 Ge3'
_space_group_name_H-M_alt 'P -6 2 m'
_space_group_IT_number 189
_space_group_name_Hall 'P -6 -2'
_cell_length_a 6.9616
_cell_length_b 6.9616
_cell_length_c 4.1257
_cell_angle_alpha 90.00
_cell_angle_beta 90.00
_cell_angle_gamma 120.00
loop_
_atom_site_label
_atom_site_type_symbol
_atom_site_fract_x
_atom_site_fract_y
_atom_site_fract_z
Tm1 Tm 0.0000 0.4184 0.0000
Ag1 Ag 0.0000 0.7495 0.5000
Ge1 Ge 0.0000 0.0000 0.0000
Ge2 Ge 0.3333 0.6667 0.5000
# - density (g cm⁻³) = 10.05
# - E (eV per atom) = -34.82

---

# Ni2HgAs | the Alexandria database | SCAN | single point on PBEsol structure
data_Ni2HgAs
_chemical_formula_sum 'Ni4 Hg2 As2'
_space_group_name_H-M_alt 'I m m 2'
_space_group_IT_number 44
_space_group_name_Hall 'I 2 -2'
_cell_length_a 2.8915
_cell_length_b 3.5233
_cell_length_c 11.9169
_cell_angle_alpha 90.00
_cell_angle_beta 90.00
_cell_angle_gamma 90.00
loop_
_atom_site_label
_atom_site_type_symbol
_atom_site_fract_x
_atom_site_fract_y
_atom_site_fract_z
Ni1 Ni 0.0000 0.0000 0.0000
Ni2 Ni 0.0000 0.5000 0.3211
Hg1 Hg 0.0000 0.0000 0.6292
As1 As 0.0000 0.5000 0.8737
# - density (g cm⁻³) = 10.75
# - E (eV per atom) = -30.15

---

# Ca5Al3 | the Alexandria database | SCAN | single point on PBEsol structure
data_Ca5Al3
_chemical_formula_sum 'Ca20 Al12'
_space_group_name_H-M_alt 'I 4/m c m'
_space_group_IT_number 140
_space_group_name_Hall '-I 4 2c'
_cell_length_a 12.4818
_cell_length_b 12.4818
_cell_length_c 5.8536
_cell_angle_alpha 90.00
_cell_angle_beta 90.00
_cell_angle_gamma 90.00
loop_
_atom_site_label
_atom_site_type_symbol
_atom_site_fract_x
_atom_site_fract_y
_atom_site_fract_z
Ca1 Ca 0.0000 0.5000 0.2500
Ca2 Ca 0.0834 0.2179 0.0000
Al1 Al 0.0000 0.0000 0.2500
Al2 Al 0.1611 0.3389 0.5000
# - density (g cm⁻³) = 2.05
# - energy above the lowest structure with this stoichiometry (meV per atom) = 0.0
# - E (eV per atom) = -9.07

---

# ZnCrOs2 | the Alexandria database | SCAN | single point on PBEsol structure
data_ZnCrOs2
_chemical_formula_sum 'Zn1 Cr1 Os2'
_space_group_name_H-M_alt 'P m m m'
_space_group_IT_number 47
_space_group_name_Hall '-P 2 2'
_cell_length_a 2.6800
_cell_length_b 3.6159
_cell_length_c 5.4143
_cell_angle_alpha 90.00
_cell_angle_beta 90.00
_cell_angle_gamma 90.00
loop_
_atom_site_label
_atom_site_type_symbol
_atom_site_fract_x
_atom_site_fract_y
_atom_site_fract_z
Zn1 Zn 0.0000 0.0000 0.0000
Cr1 Cr 0.0000 0.0000 0.5000
Os1 Os 0.5000 0.5000 0.2568
# - density (g cm⁻³) = 15.76
# - E (eV per atom) = -43.72

---

# BeCu3 | the Alexandria database | SCAN | single point on PBEsol structure
data_BeCu3
_chemical_formula_sum 'Be1 Cu3'
_space_group_name_H-M_alt 'P m m 2'
_space_group_IT_number 25
_space_group_name_Hall 'P 2 -2'
_cell_length_a 2.5238
_cell_length_b 3.9717
_cell_length_c 4.2097
_cell_angle_alpha 90.00
_cell_angle_beta 90.00
_cell_angle_gamma 90.00
loop_
_atom_site_label
_atom_site_type_symbol
_atom_site_fract_x
_atom_site_fract_y
_atom_site_fract_z
Be1 Be 0.0000 0.0000 0.0000
Cu1 Cu 0.0000 0.5000 0.3353
Cu2 Cu 0.5000 0.0000 0.4996
Cu3 Cu 0.5000 0.5000 0.8467
# - density (g cm⁻³) = 7.86
# - E (eV per atom) = -12.54

---

# Zn2Sn2Pb | the Alexandria database | SCAN | single point on PBEsol structure
data_Zn2Sn2Pb
_chemical_formula_sum 'Zn4 Sn4 Pb2'
_space_group_name_H-M_alt 'I 4/m m m'
_space_group_IT_number 139
_space_group_name_Hall '-I 4 2'
_cell_length_a 4.5105
_cell_length_b 4.5105
_cell_length_c 11.6862
_cell_angle_alpha 90.00
_cell_angle_beta 90.00
_cell_angle_gamma 90.00
loop_
_atom_site_label
_atom_site_type_symbol
_atom_site_fract_x
_atom_site_fract_y
_atom_site_fract_z
Zn1 Zn 0.0000 0.5000 0.2500
Sn1 Sn 0.0000 0.0000 0.1201
Pb1 Pb 0.0000 0.0000 0.5000
# - density (g cm⁻³) = 8.04
# - energy above the lowest structure with this stoichiometry (meV per atom) = 0.0
# - E (eV per atom) = -34.77

---

no.,formation enthalpy at 0 K (eV/atom)
1,0.117
2,1.881
3,-0.720
4,0.030
5,-0.120
6,0.196
7,-0.051
8,0.162